CsCaAs | PBE-GGA | relaxed

Computed properties:
space-group type: No. 156
formation energy: -61.2 kJ/mol of atoms

Lattice parameters (Å, degrees): 4.9707 4.9707 5.9335 90.00 90.00 120.00
With the nearest neighbours (Å) after each atom.
Sites, in units of the cell vectors:
Cs 0.0000 0.0000 0.0000  6 As 4.12-4.13, 6 Ca 4.13
Ca 0.6667 0.3333 0.4998  3 As 2.87
As 0.3333 0.6667 0.4989  3 Ca 2.87